1.
## Sc4ZnCdGa2 (GGA-PBE)

Data for Sc4ZnCdGa2 after structural relaxation.

Cell lengths 4.8047, 4.8047, 8.3169 Å; angles 73.21, 73.21, 60.00 degrees
Atoms (fractional coordinates):
Ga 0.7481 0.7481 0.7556
Ga 0.2519 0.2519 0.2444
Sc 0.1285 0.1285 0.6144
Sc 0.8715 0.8715 0.3856
Zn 0.5000 0.5000 0.5000
Sc 0.3789 0.3789 0.8633
Cd 0.0000 0.0000 0.0000
Sc 0.6211 0.6211 0.1367

Output
The density of states at the Fermi level comes out at 0.849 states/eV/atom. Its space group is R-3m. The value obtained for the formation energy is -477 meV per atom.

---

2.
## ZrScCdGa (GGA-PBE)

Data for ZrScCdGa after structural relaxation.

Cell lengths 4.8612, 4.8612, 4.8612 Å; angles 60.00, 60.00, 60.00 degrees
Atoms (fractional coordinates):
Cd 0.7500 0.7500 0.7500
Sc 0.0000 0.0000 0.0000
Ga 0.2500 0.2500 0.2500
Zr 0.5000 0.5000 0.5000

Output
The density of states at the Fermi level comes out at 0.400 states/eV/atom. As for the distance to the lowest polymorph of the same formula: 49 meV per atom. Its space group is F-43m. The value obtained for the formation energy is -334 meV per atom.

---

3.
## ZrScCdGa (GGA-PBE)

Data for ZrScCdGa after structural relaxation.

Cell lengths 3.1236, 3.1236, 8.3126 Å; angles 90.00, 90.00, 90.00 degrees
Atoms (fractional coordinates):
Zr 0.5000 0.5000 0.3404
Ga 0.0000 0.0000 0.5724
Sc 0.5000 0.5000 0.8030
Cd 0.0000 0.0000 0.0688

Output
The density of states at the Fermi level comes out at 0.962 states/eV/atom. As for the distance to the lowest polymorph of the same formula: 0 meV per atom. Its space group is P4mm. The value obtained for the formation energy is -384 meV per atom.

---

4.
## CdGa2Se (GGA-PBE)

Data for CdGa2Se after structural relaxation.

Cell lengths 5.0730, 5.0730, 5.0730 Å; angles 60.00, 60.00, 60.00 degrees
Atoms (fractional coordinates):
Ga 0.7500 0.7500 0.7500
Cd 0.5000 0.5000 0.5000
Se 0.0000 0.0000 0.0000
Ga 0.2500 0.2500 0.2500

Output
As for the energy relative to the elements, uncorrected: 0.15 eV/f.u. The density of states at the Fermi level comes out at 0.205 states/eV/atom. As for the distance to the lowest polymorph of the same formula: 94 meV per atom. Its space group is Fm-3m.

---

5.
## Cd3GaSe (GGA-PBE)

Data for Cd3GaSe after structural relaxation.

Cell lengths 5.4303, 5.4303, 5.4303 Å; angles 90.00, 90.00, 90.00 degrees
Atoms (fractional coordinates):
Cd 0.5000 0.0000 0.0000
Cd 0.0000 0.5000 0.0000
Se 0.0000 0.0000 0.0000
Ga 0.5000 0.5000 0.5000
Cd 0.0000 0.0000 0.5000

Output
As for the energy relative to the elements, uncorrected: 1.99 eV/f.u. The density of states at the Fermi level comes out at 0.895 states/eV/atom. As for the distance to the lowest polymorph of the same formula: 153 meV per atom. Its space group is Pm-3m.

---

6.
## CdGaSe3 (GGA-PBE)

Data for CdGaSe3 after structural relaxation.

Cell lengths 5.0082, 5.0082, 5.0082 Å; angles 90.00, 90.00, 90.00 degrees
Atoms (fractional coordinates):
Ga 0.0000 0.0000 0.0000
Se 0.0000 0.5000 0.0000
Se 0.5000 0.0000 0.0000
Se 0.0000 0.0000 0.5000
Cd 0.5000 0.5000 0.5000

Output
As for the energy relative to the elements, uncorrected: 1.01 eV/f.u. The density of states at the Fermi level comes out at 0.793 states/eV/atom. As for the distance to the lowest polymorph of the same formula: 0 meV per atom. Its space group is Pm-3m.

---

7.
## Cd3Ga12Se5 (GGA-PBE)

Data for Cd3Ga12Se5 after structural relaxation.

Cell lengths 13.9496, 13.9496, 13.9496 Å; angles 109.47, 109.47, 109.47 degrees
Atoms (fractional coordinates):
Cd 0.1250 0.2500 0.8750
Ga 0.9160 0.8324 0.5624
Ga 0.3536 0.4160 0.0837
Se 0.0000 0.0000 0.0000
Ga 0.4376 0.6676 0.0840
Ga 0.5837 0.8536 0.4160
Ga 0.9376 0.5840 0.1676
Se 0.6250 0.7500 0.8750
Cd 0.8750 0.7500 0.1250
Ga 0.7300 0.1464 0.0624
Ga 0.9376 0.3536 0.2700
Se 0.5000 0.5000 0.0000
Ga 0.7700 0.4376 0.3536
Ga 0.0840 0.9163 0.1464
Ga 0.6676 0.2300 0.5837
Se 0.1250 0.3750 0.2500
Ga 0.3536 0.9376 0.7700
Ga 0.4376 0.7700 0.8536
Ga 0.2700 0.4163 0.8324
Cd 0.3750 0.7500 0.6250
Ga 0.9163 0.8324 0.7700
Se 0.0000 0.0000 0.5000
Ga 0.6464 0.0624 0.2300
Se 0.0000 0.5000 0.0000
Se 0.5000 0.5000 0.5000
Cd 0.2500 0.1250 0.3750
Ga 0.0624 0.6464 0.7300
Ga 0.3324 0.7700 0.4163
Ga 0.7700 0.3324 0.9163
Ga 0.5840 0.6464 0.4163
Se 0.2500 0.3750 0.6250
Se 0.3750 0.1250 0.7500
Ga 0.8324 0.9160 0.0624
Se 0.8750 0.2500 0.6250
Ga 0.4163 0.2700 0.3324
Ga 0.8536 0.5837 0.9160
Cd 0.3750 0.6250 0.2500
Ga 0.2300 0.6676 0.0837
Ga 0.1464 0.4163 0.0840
Ga 0.1464 0.7300 0.5624
Ga 0.0837 0.9160 0.3536
Ga 0.1676 0.0840 0.9376
Ga 0.0840 0.1676 0.4376
Ga 0.5624 0.2300 0.1464
Ga 0.9163 0.0840 0.6464
Se 0.6250 0.8750 0.2500
Ga 0.2300 0.5624 0.6464
Ga 0.9160 0.0837 0.8536
Ga 0.5624 0.3324 0.9160
Se 0.3750 0.2500 0.1250
Ga 0.4160 0.3536 0.5837
Ga 0.3324 0.5624 0.4160
Cd 0.6250 0.2500 0.3750
Ga 0.0624 0.4160 0.8324
Ga 0.1676 0.0837 0.7300
Se 0.2500 0.8750 0.1250
Cd 0.8750 0.1250 0.2500
Ga 0.6464 0.5840 0.9163
Ga 0.7300 0.5837 0.1676
Se 0.7500 0.1250 0.8750
Se 0.1250 0.7500 0.3750
Ga 0.4163 0.1464 0.5840
Cd 0.7500 0.8750 0.6250
Se 0.8750 0.6250 0.7500
Se 0.7500 0.6250 0.3750
Ga 0.8324 0.9163 0.2700
Ga 0.8536 0.2700 0.4376
Cd 0.2500 0.6250 0.8750
Cd 0.6250 0.3750 0.7500
Se 0.5000 0.0000 0.0000
Ga 0.6676 0.4376 0.5840
Se 0.0000 0.5000 0.5000
Ga 0.5840 0.9376 0.6676
Cd 0.7500 0.3750 0.1250
Ga 0.5837 0.7300 0.6676
Se 0.5000 0.0000 0.5000
Ga 0.0837 0.1676 0.2300
Cd 0.1250 0.8750 0.7500
Ga 0.2700 0.8536 0.9376
Ga 0.4160 0.0624 0.3324

Output
As for the energy relative to the elements, uncorrected: -0.63 eV/f.u. The density of states at the Fermi level comes out at 0.604 states/eV/atom. Its space group is Ia-3d.

---

8.
## Cd2GaSe2 (GGA-PBE)

Data for Cd2GaSe2 after structural relaxation.

Cell lengths 4.3983, 4.3983, 7.6132 Å; angles 73.21, 73.21, 90.00 degrees
Atoms (fractional coordinates):
Se 0.6225 0.6225 0.7550
Se 0.3775 0.3775 0.2450
Cd 0.2500 0.7500 0.5000
Ga 0.0000 0.0000 0.0000
Cd 0.7500 0.2500 0.5000

Output
As for the energy relative to the elements, uncorrected: -0.59 eV/f.u. The density of states at the Fermi level comes out at 0.546 states/eV/atom. Its space group is I4/mmm.

---

9.
## CdGa2Se (GGA-PBE)

Data for CdGa2Se after structural relaxation.

Cell lengths 6.4575, 6.4575, 7.1312 Å; angles 63.08, 63.08, 90.00 degrees
Atoms (fractional coordinates):
Ga 0.1364 0.6250 0.2500
Ga 0.8750 0.8636 0.7500
Cd 0.0000 0.0000 0.0000
Se 0.2500 0.7500 0.5000
Cd 0.7500 0.2500 0.5000
Ga 0.6136 0.1250 0.2500
Ga 0.3750 0.3864 0.7500
Se 0.5000 0.5000 0.0000

Output
As for the energy relative to the elements, uncorrected: -0.23 eV/f.u. The density of states at the Fermi level comes out at 0.056 states/eV/atom. As for the distance to the lowest polymorph of the same formula: 0 meV per atom. Its space group is I-42d.

---

10.
## CdGaSe3 (GGA-PBE)

Data for CdGaSe3 after structural relaxation.

Cell lengths 5.2801, 5.2801, 5.2801 Å; angles 90.00, 90.00, 90.00 degrees
Atoms (fractional coordinates):
Ga 0.5000 0.5000 0.5000
Se 0.0000 0.0000 0.5000
Se 0.5000 0.0000 0.0000
Cd 0.0000 0.0000 0.0000
Se 0.0000 0.5000 0.0000

Output
As for the energy relative to the elements, uncorrected: 1.84 eV/f.u. The density of states at the Fermi level comes out at 1.040 states/eV/atom. As for the distance to the lowest polymorph of the same formula: 166 meV per atom. Its space group is Pm-3m.

---

11.
## Cd3GaSe4 (GGA-PBE)

Data for Cd3GaSe4 after structural relaxation.

Cell lengths 6.1759, 6.1759, 6.1759 Å; angles 90.00, 90.00, 90.00 degrees
Atoms (fractional coordinates):
Se 0.2429 0.7571 0.7571
Ga 0.0000 0.0000 0.0000
Cd 0.5000 0.0000 0.5000
Se 0.7571 0.2429 0.7571
Cd 0.5000 0.5000 0.0000
Cd 0.0000 0.5000 0.5000
Se 0.7571 0.7571 0.2429
Se 0.2429 0.2429 0.2429

Output
As for the energy relative to the elements, uncorrected: -4.27 eV/f.u. The density of states at the Fermi level comes out at 0.300 states/eV/atom. As for the distance to the lowest polymorph of the same formula: 0 meV per atom. Its space group is P-43m.

---

12.
## CdGa2Se (GGA-PBE)

Data for CdGa2Se after structural relaxation.

Cell lengths 3.6721, 3.6721, 9.1138 Å; angles 78.38, 78.38, 60.00 degrees
Atoms (fractional coordinates):
Cd 0.0000 0.0000 0.0000
Ga 0.1034 0.1034 0.6899
Se 0.5000 0.5000 0.5000
Ga 0.8966 0.8966 0.3101

Output
As for the energy relative to the elements, uncorrected: -0.10 eV/f.u. The density of states at the Fermi level comes out at 0.386 states/eV/atom. As for the distance to the lowest polymorph of the same formula: 32 meV per atom. Its space group is R-3m.

---

13.
## Cd3GaSe (GGA-PBE)

Data for Cd3GaSe after structural relaxation.

Cell lengths 5.1396, 5.1396, 5.1396 Å; angles 90.00, 90.00, 90.00 degrees
Atoms (fractional coordinates):
Cd 0.0000 0.0000 0.5000
Cd 0.0000 0.5000 0.0000
Ga 0.0000 0.0000 0.0000
Cd 0.5000 0.0000 0.0000
Se 0.5000 0.5000 0.5000

Output
As for the energy relative to the elements, uncorrected: 1.22 eV/f.u. The density of states at the Fermi level comes out at 1.565 states/eV/atom. As for the distance to the lowest polymorph of the same formula: 0 meV per atom. Its space group is Pm-3m.

---

14.
## Cd3GaSe4 (GGA-PBE)

Data for Cd3GaSe4 after structural relaxation.

Cell lengths 7.0688, 7.5302, 8.8667 Å; angles 90.00, 90.00, 90.00 degrees
Atoms (fractional coordinates):
Cd 0.0036 0.1653 0.5000
Ga 0.0069 0.1718 0.0000
Cd 0.0032 0.6680 0.7503
Se 0.6195 0.6742 0.7445
Se 0.1195 0.3258 0.7555
Cd 0.0032 0.6680 0.2497
Cd 0.5032 0.3320 0.2503
Se 0.1401 0.8294 0.5000
Cd 0.5036 0.8347 0.0000
Se 0.6401 0.1706 0.0000
Se 0.6195 0.6742 0.2555
Se 0.1195 0.3258 0.2445
Cd 0.5032 0.3320 0.7497
Ga 0.5069 0.8282 0.5000
Se 0.6193 0.1550 0.5000
Se 0.1193 0.8450 0.0000

Output
As for the energy relative to the elements, uncorrected: -4.17 eV/f.u. The density of states at the Fermi level comes out at 0.318 states/eV/atom. As for the distance to the lowest polymorph of the same formula: 13 meV per atom. Its space group is Pmn2_1.

---

15.
## Cd2GaSnSe (GGA-PBE)

Data for Cd2GaSnSe after structural relaxation.

Cell lengths 5.5015, 5.6211, 5.5015 Å; angles 90.00, 90.00, 90.00 degrees
Atoms (fractional coordinates):
Cd 0.0000 0.0000 0.5000
Cd 0.5000 0.0000 0.0000
Ga 0.5000 0.5000 0.5000
Sn 0.0000 0.0000 0.0000
Se 0.0000 0.5000 0.0000

Output
As for the energy relative to the elements, uncorrected: 1.59 eV/f.u. The density of states at the Fermi level comes out at 0.639 states/eV/atom. Its space group is P4/mmm.

---

16.
## CdGa2SnSe6 (GGA-PBE)

Data for CdGa2SnSe6 after structural relaxation.

Cell lengths 7.1271, 9.3699, 9.3699 Å; angles 86.61, 73.23, 73.23 degrees
Atoms (fractional coordinates):
Se 0.1041 0.6097 0.1015
Se 0.0059 0.2945 0.4478
Ga 0.2725 0.7569 0.6172
Cd 0.7500 0.1788 0.8212
Se 0.5059 0.4478 0.2945
Se 0.8922 0.0382 0.1850
Se 0.1078 0.9618 0.8150
Cd 0.2500 0.8212 0.1788
Se 0.6041 0.1015 0.6097
Ga 0.7275 0.2431 0.3828
Se 0.3922 0.1850 0.0382
Sn 0.2500 0.1910 0.8090
Se 0.3959 0.8985 0.3903
Ga 0.7725 0.6172 0.7569
Sn 0.7500 0.8090 0.1910
Ga 0.2275 0.3828 0.2431
Se 0.9941 0.7055 0.5522
Se 0.4941 0.5522 0.7055
Se 0.8959 0.3903 0.8985
Se 0.6078 0.8150 0.9618

Output
As for the energy relative to the elements, uncorrected: -4.11 eV/f.u. Its space group is C2/c.

---

17.
## Sr2CdGaSe5 (GGA-PBE)

Data for Sr2CdGaSe5 after structural relaxation.

Cell lengths 4.0876, 9.9103, 12.3466 Å; angles 90.00, 90.00, 101.90 degrees
Atoms (fractional coordinates):
Cd 0.7697 0.5394 0.5274
Se 0.2794 0.5588 0.6815
Cd 0.2303 0.4606 0.0274
Se 0.6338 0.2675 0.4911
Sr 0.8872 0.7744 0.1724
Se 0.3662 0.7325 0.9911
Se 0.0470 0.0941 0.0525
Se 0.5072 0.0144 0.7725
Sr 0.1128 0.2256 0.6724
Ga 0.5671 0.1342 0.9422
Se 0.6898 0.3796 0.8822
Se 0.3102 0.6204 0.3822
Ga 0.4329 0.8658 0.4422
Se 0.9530 0.9059 0.5525
Se 0.4928 0.9856 0.2725
Se 0.7206 0.4412 0.1815
Sr 0.8833 0.7666 0.8022
Sr 0.1167 0.2334 0.3022

Output
As for the energy relative to the elements, uncorrected: -10.09 eV/f.u. The density of states at the Fermi level comes out at 0.752 states/eV/atom. Its space group is Cmc2_1.

---

18.
## CdGaTc2Se (GGA-PBE)

Data for CdGaTc2Se after structural relaxation.

Cell lengths 4.6206, 5.0132, 4.6206 Å; angles 90.00, 90.00, 90.00 degrees
Atoms (fractional coordinates):
Tc 0.5000 0.0000 0.0000
Ga 0.0000 0.5000 0.0000
Se 0.0000 0.0000 0.0000
Cd 0.5000 0.5000 0.5000
Tc 0.0000 0.0000 0.5000

Output
As for the energy relative to the elements, uncorrected: 4.83 eV/f.u. The density of states at the Fermi level comes out at 0.994 states/eV/atom. Its space group is P4/mmm.

---

19.
## CdGaTeSe (GGA-PBE)

Data for CdGaTeSe after structural relaxation.

Cell lengths 3.6867, 3.6867, 9.8564 Å; angles 91.26, 91.26, 62.71 degrees
Atoms (fractional coordinates):
Cd 0.2401 0.2401 0.4552
Ga 0.2398 0.2398 0.1920
Te 0.9034 0.9034 0.6688
Se 0.5738 0.5738 0.0679

Output
As for the energy relative to the elements, uncorrected: -0.97 eV/f.u. The density of states at the Fermi level comes out at 0.309 states/eV/atom. Its space group is Cm.

---

20.
## Tl2CdGaSe4 (GGA-PBE)

Data for Tl2CdGaSe4 after structural relaxation.

Cell lengths 7.0287, 7.1621, 7.2543 Å; angles 125.74, 125.18, 79.27 degrees
Atoms (fractional coordinates):
Tl 0.2989 0.2987 0.5976
Tl 0.5285 0.0291 0.0576
Cd 0.9897 0.4902 0.9799
Se 0.6315 0.6157 0.6613
Se 0.0296 0.0459 0.6614
Se 0.3455 0.7927 0.1788
Se 0.8339 0.3859 0.1792
Ga 0.7293 0.7291 0.4584

Output
As for the energy relative to the elements, uncorrected: -3.48 eV/f.u. The density of states at the Fermi level comes out at 0.628 states/eV/atom. Its space group is C2.

---

21.
## Tl2CdGaSe (GGA-PBE)

Data for Tl2CdGaSe after structural relaxation.

Cell lengths 6.1889, 4.9107, 6.1889 Å; angles 90.00, 90.00, 90.00 degrees
Atoms (fractional coordinates):
Cd 0.5000 0.5000 0.5000
Tl 0.0000 0.0000 0.5000
Ga 0.0000 0.5000 0.0000
Se 0.0000 0.0000 0.0000
Tl 0.5000 0.0000 0.0000

Output
As for the energy relative to the elements, uncorrected: 0.86 eV/f.u. The density of states at the Fermi level comes out at 0.414 states/eV/atom. Its space group is P4/mmm.

---

22.
## CdGa2Si2 (GGA-PBE)

Data for CdGa2Si2 after structural relaxation.

Cell lengths 7.4242, 7.4242, 3.3732 Å; angles 90.00, 90.00, 90.00 degrees
Atoms (fractional coordinates):
Cd 0.5000 0.5000 0.0000
Cd 0.0000 0.0000 0.0000
Ga 0.8275 0.3275 0.5000
Si 0.1210 0.3790 0.0000
Ga 0.1725 0.6725 0.5000
Ga 0.6725 0.8275 0.5000
Si 0.6210 0.1210 0.0000
Ga 0.3275 0.1725 0.5000
Si 0.8790 0.6210 0.0000
Si 0.3790 0.8790 0.0000

Output
As for the energy relative to the elements, uncorrected: 1.48 eV/f.u. The density of states at the Fermi level comes out at 0.462 states/eV/atom. As for the distance to the lowest polymorph of the same formula: 102 meV per atom. Its space group is P4/mbm.